1.
Compound: Ag4Sb3S8
Source: Alexandria
Functional: PBE
Structure: optimized geometry

Calculated values
Crystal system   trigonal
D(E_F)   12.7 states/eV/f.u.
Size of the total moment   0.000 μB/f.u.
Space-group type   R-3m, No. 166
E above lowest polymorph   0.0000 eV per atom
E_form (uncorrected)   -0.064 eV per atom
Uncorrected energy   -3.85 eV per atom

Lattice parameters (Å, degrees): 7.700 7.700 8.062 61.48 61.48 60.00
Fractional coordinates of all 15 atoms:
Ag (0.000, 0.000, 0.000)
Ag (0.362, 0.362, 0.913)
Ag (0.500, 0.500, 0.500)
Ag (0.638, 0.638, 0.087)
Sb (0.500, 0.000, 0.500)
Sb (0.000, 0.000, 0.500)
Sb (0.000, 0.500, 0.500)
S (0.242, 0.242, 0.273)
S (0.230, 0.754, 0.262)
S (0.754, 0.754, 0.262)
S (0.754, 0.230, 0.262)
S (0.758, 0.758, 0.727)
S (0.770, 0.246, 0.738)
S (0.246, 0.246, 0.738)
S (0.246, 0.770, 0.738)



2.
Compound: TiNbPd14
Source: Alexandria
Functional: PBE
Structure: optimized geometry

Calculated values
Crystal system   tetragonal
ΔE_f   -302.1 meV per atom
D(E_F)   22.2 states/eV/f.u.
Size of the total moment   0.000 μB/f.u.
Space-group type   P4/mmm, No. 123
Uncorrected energy   -5.97 eV per atom

Lattice parameters (Å, degrees): 5.612 5.612 7.841 90.00 90.00 90.00
Fractional coordinates of all 16 atoms:
Ti (0.375, 0.375, 0.500)
Nb (0.875, 0.875, 0.500)
Pd (0.875, 0.875, 0.000)
Pd (0.375, 0.375, 0.000)
Pd (0.875, 0.375, 0.500)
Pd (0.875, 0.375, 0.000)
Pd (0.375, 0.875, 0.500)
Pd (0.375, 0.875, 0.000)
Pd (0.624, 0.126, 0.257)
Pd (0.624, 0.126, 0.743)
Pd (0.126, 0.624, 0.257)
Pd (0.126, 0.624, 0.743)
Pd (0.624, 0.624, 0.257)
Pd (0.624, 0.624, 0.743)
Pd (0.126, 0.126, 0.257)
Pd (0.126, 0.126, 0.743)



3.
Compound: YBe2Si
Source: Alexandria
Functional: PBE
Structure: optimized geometry

Calculated values
Crystal system   trigonal
D(E_F)   1.3 states/eV/f.u.
Size of the total moment   0.000 μB/f.u.
Space-group type   R3m, No. 160
E_form (uncorrected)   -0.343 eV per atom
Uncorrected energy   -5.18 eV per atom

Lattice parameters (Å, degrees): 3.729 3.729 5.491 70.20 70.20 59.98
Fractional coordinates of all 4 atoms:
Y (0.745, 0.745, 0.766)
Be (0.947, 0.947, 0.159)
Be (0.263, 0.263, 0.211)
Si (0.546, 0.546, 0.364)



4.
Compound: MnPCSeN
Source: Alexandria
Functional: PBE
Structure: optimized geometry

Calculated values
Crystal system   triclinic
D(E_F)   2.2 states/eV/f.u.
Size of the total moment   0.585 μB/f.u.
Space-group type   P1, No. 1
E above lowest polymorph   0.3775 eV per atom
E_form (uncorrected)   0.594 eV per atom
Uncorrected energy   -6.53 eV per atom

Lattice parameters (Å, degrees): 3.452 3.962 5.055 71.72 85.95 79.30
Site moments in Bohr magnetons follow the coordinates.
Fractional coordinates of all 5 atoms:
P (0.950, 0.719, 0.705)  -0.01
C (0.601, 0.998, 0.852)  -0.06
Mn (0.078, 0.119, 0.959)  0.66
Se (0.525, 0.314, 0.236)  -0.02
N (0.887, 0.873, 0.360)  0.01



5.
Compound: Ce4GeS3
Source: Alexandria
Functional: PBE
Structure: optimized geometry

Calculated values
Crystal system   tetragonal
D(E_F)   19.4 states/eV/f.u.
Size of the total moment   2.820 μB/f.u.
Space-group type   I4/mmm, No. 139
E_form (uncorrected)   -1.723 eV per atom
Uncorrected energy   -6.81 eV per atom

Lattice parameters (Å, degrees): 7.078 7.078 7.078 131.82 131.82 70.51
Site moments in Bohr magnetons follow the coordinates.
Fractional coordinates of all 8 atoms:
Ce (0.000, 0.500, 0.500)  0.54
Ce (0.500, 0.000, 0.500)  0.54
Ce (0.255, 0.255, 0.000)  0.68
Ce (0.745, 0.745, 0.000)  0.68
Ge (0.000, 0.000, 0.000)  -0.02
S (0.500, 0.500, 0.000)  -0.02
S (0.750, 0.250, 0.500)  -0.02
S (0.250, 0.750, 0.500)  -0.02



6.
Compound: YSc3Rh4
Source: Alexandria
Functional: PBE
Structure: optimized geometry

Calculated values
Crystal system   trigonal
ΔE_f   -959.3 meV per atom
D(E_F)   2.6 states/eV/f.u.
Size of the total moment   0.000 μB/f.u.
Space-group type   R-3m, No. 166
Uncorrected energy   -7.82 eV per atom

Lattice parameters (Å, degrees): 4.640 4.640 8.062 73.28 73.28 60.00
Fractional coordinates of all 8 atoms:
Y (0.000, 0.000, 0.000)
Sc (0.247, 0.247, 0.258)
Sc (0.753, 0.753, 0.742)
Sc (0.500, 0.500, 0.500)
Rh (0.872, 0.872, 0.383)
Rh (0.379, 0.379, 0.864)
Rh (0.128, 0.128, 0.617)
Rh (0.621, 0.621, 0.136)



7.
Compound: Pr6DyY2Sc
Source: Alexandria
Functional: PBE
Structure: optimized geometry

Calculated values
Crystal system   monoclinic
ΔE_f   215.7 meV per atom
D(E_F)   13.9 states/eV/f.u.
Size of the total moment   0.000 μB/f.u.
Space-group type   C2/m, No. 12
Uncorrected energy   -5.04 eV per atom

Lattice parameters (Å, degrees): 9.029 7.574 6.417 126.17 99.97 90.00
Fractional coordinates of all 10 atoms:
Pr (0.443, 0.658, 0.316)
Pr (0.218, 0.085, 0.735)
Pr (0.782, 0.351, 0.265)
Pr (0.218, 0.649, 0.735)
Pr (0.782, 0.915, 0.265)
Pr (0.557, 0.342, 0.684)
Dy (0.000, 0.500, 0.000)
Y (0.141, 0.130, 0.260)
Y (0.859, 0.870, 0.740)
Sc (0.500, 0.000, 0.000)



8.
Compound: SmCd2Bi
Source: Alexandria
Functional: PBE
Structure: optimized geometry

Calculated values
Crystal system   trigonal
ΔE_f   176.4 meV per atom
D(E_F)   2.4 states/eV/f.u.
Size of the total moment   0.000 μB/f.u.
Space-group type   R-3m, No. 166
Uncorrected energy   -2.43 eV per atom

Lattice parameters (Å, degrees): 3.409 3.409 12.032 81.85 81.85 60.00
Fractional coordinates of all 4 atoms:
Bi (0.500, 0.500, 0.500)
Sm (0.000, 0.000, 0.000)
Cd (0.089, 0.089, 0.734)
Cd (0.911, 0.911, 0.266)



9.
Compound: LaSe2Cl
Source: Alexandria
Functional: PBE
Structure: optimized geometry

Calculated values
Crystal system   tetragonal
D(E_F)   2.0 states/eV/f.u.
Size of the total moment   0.000 μB/f.u.
Space-group type   P4/mmm, No. 123
E above lowest polymorph   0.1826 eV per atom
E_form (uncorrected)   -1.342 eV per atom
Uncorrected energy   -4.78 eV per atom

Lattice parameters (Å, degrees): 4.204 4.202 5.260 90.00 90.00 90.00
Fractional coordinates of all 4 atoms:
Cl (0.500, 0.000, 0.500)
La (0.000, 0.500, 0.500)
Se (0.000, 0.000, 0.000)
Se (0.500, 0.500, 0.000)



10.
Compound: Ir2RuW2
Source: Alexandria
Functional: PBE
Structure: optimized geometry

Calculated values
Crystal system   tetragonal
ΔE_f   218.5 meV per atom
D(E_F)   4.1 states/eV/f.u.
Size of the total moment   0.801 μB/f.u.
Space-group type   P4/mbm, No. 127
E above lowest polymorph   0.3633 eV per atom
Uncorrected energy   -10.36 eV per atom

Lattice parameters (Å, degrees): 7.617 7.617 2.771 90.00 90.00 90.00
Site moments in Bohr magnetons follow the coordinates.
Fractional coordinates of all 10 atoms:
Ru (0.000, 0.000, 0.000)  0.86
Ru (0.500, 0.500, 0.000)  0.86
Ir (0.169, 0.669, 0.500)  -0.01
Ir (0.669, 0.831, 0.500)  -0.01
Ir (0.831, 0.331, 0.500)  -0.01
Ir (0.331, 0.169, 0.500)  -0.01
W (0.375, 0.875, 0.000)  -0.02
W (0.875, 0.625, 0.000)  -0.02
W (0.625, 0.125, 0.000)  -0.02
W (0.125, 0.375, 0.000)  -0.02